Below is crystalline Th2NiSb3 at its relaxed geometry, with properties calculated at the PBE-GGA level.

## Properties
- Energy relative to the elements, uncorrected: -0.41 eV per atom
- Space group: No. 71
- Uncorrected energy: -5.908 eV per atom
- Fermi-level density of states: 6.4 states/eV/f.u.

abc: 4.3104 6.3445 7.2265
angles: 116.04 107.35 90.00
Sites, in units of the cell vectors:
Th 0.6854 0.1854 0.3709
Th 0.3146 0.8146 0.6291
Ni 0.0000 0.5000 0.0000
Sb 0.3736 0.3736 0.7471
Sb 0.0000 0.0000 0.0000
Sb 0.6264 0.6264 0.2529